Entry 1:
KTl2Au, relaxed, DFT PBEsol; ΔH_f (0 K) = -102 meV per atom; total magnetic moment = 0.00 μB per atom; space-group type = Pmmm (47)
1.0
3.525 0.000 0.000
0.000 3.607 0.000
0.000 0.000 8.352
Tl Au K
2 1 1
direct
0.000 0.000 0.803
0.000 0.000 0.197
0.500 0.500 0.000
0.500 0.500 0.500

Entry 2:
LiMn2OF3, relaxed, DFT PBEsol; total magnetic moment = 1.43 μB per atom; uncorrected energy = -6.711 eV/atom; space-group type = P-3m1 (164)
1.0
-1.250 -3.726 -3.352
-1.972 -3.523 4.651
-3.899 3.844 -2.820
Li Mn O F
2 4 2 6
direct
0.978 0.333 0.667
0.022 0.667 0.333
0.500 0.500 0.500
0.500 0.000 0.500
0.500 0.500 0.000
0.000 0.000 0.000
0.337 0.333 0.667
0.663 0.667 0.333
0.788 0.653 0.826
0.788 0.174 0.826
0.212 0.826 0.653
0.788 0.174 0.347
0.212 0.347 0.174
0.212 0.826 0.174